No. 1
SrLi4Ag2Hg | PBE | optimized geometry

Results
Space-group type: R-3m
V: 169.6 Å³/cell
Calculated formation energy: -0.198 eV/atom
Total moment: 0.000 μB/atom
D(E_F): 2.417 states/eV per cell
Mass density: 5.206 g cm⁻³

Lattice parameters (Å, degrees): 9.606 9.606 9.606 27.75 27.75 27.75
Atoms (fractional coordinates):
Sr  0.000  0.000  0.000
Li  0.134  0.134  0.134
Li  0.406  0.406  0.406
Li  0.594  0.594  0.594
Li  0.866  0.866  0.866
Ag  0.242  0.242  0.242
Ag  0.758  0.758  0.758
Hg  0.500  0.500  0.500

No. 2
PaMnCrP2 | PBE | optimized geometry

Results
Space-group type: I-4m2
V: 146.7 Å³/cell
Calculated formation energy: -0.800 eV/atom
Total moment: 0.316 μB/atom
D(E_F): 12.564 states/eV per cell
Mass density: 9.051 g cm⁻³

Lattice parameters (Å, degrees): 3.943 3.943 9.440 90.00 90.00 90.00
Atoms (fractional coordinates):
Pa  0.000  0.000  0.000
Pa  0.500  0.500  0.500
Mn  0.000  0.500  0.750
Mn  0.500  0.000  0.250
Cr  0.000  0.500  0.250
Cr  0.500  0.000  0.750
P  0.000  0.000  0.369
P  0.000  0.000  0.631
P  0.500  0.500  0.131
P  0.500  0.500  0.869